Run P
Material: SrPm4Se5
Method: DFT, GGA-PBE
State: relaxed

It has space group I4/mmm (No. 139), with a = 4.2336 Å, b = 4.2336 Å, c = 30.0241 Å, α = 90.00°, β = 90.00° and γ = 90.00°. The inequivalent atoms are Sr at (0.0000, 0.0000, 0.0000), Pm at (0.0000, 0.0000, 0.2011), Pm at (0.0000, 0.0000, 0.3975), Se at (0.0000, 0.0000, 0.1016), Se at (0.0000, 0.0000, 0.2997) and Se at (0.0000, 0.0000, 0.5000).


Run Q
Material: SrPm4Se5
Method: DFT, GGA-PBE
State: relaxed

It has space group C2/m (No. 12), with a = 14.1287 Å, b = 4.2153 Å, c = 10.3978 Å, α = 90.00°, β = 119.58° and γ = 90.00°. The inequivalent atoms are Sr at (0.0000, 0.0000, 0.0000), Pm at (0.0963, 0.5000, 0.4038), Pm at (0.1962, 0.0000, 0.7873), Se at (0.0000, 0.0000, 0.5000), Se at (0.1069, 0.5000, 0.9007) and Se at (0.1990, 0.0000, 0.3053).


Stability, lowest: run P


Run P
Material: TbPm3Se6
Method: DFT, GGA-PBE
State: relaxed

It has space group R-3 (No. 148, hexagonal axes), with a = 12.2354 Å, b = 12.2354 Å, c = 14.5482 Å, α = 90.00°, β = 90.00° and γ = 120.00°. The inequivalent atoms are Tb at (0.0000, 0.0000, 0.0000), Tb at (0.0000, 0.0000, 0.5000), Pm at (0.0517, 0.2714, 0.2016), Se at (0.0199, 0.2103, 0.3978) and Se at (0.0325, 0.1938, 0.8773).


Run Q
Material: TbPm3Se6
Method: DFT, GGA-PBE
State: relaxed

It has space group P2_1/c (No. 14), with a = 6.9862 Å, b = 7.7088 Å, c = 12.6758 Å, α = 90.00°, β = 122.79° and γ = 90.00°. The inequivalent atoms are Tb at (0.0000, 0.0000, 0.0000), Pm at (0.2024, 0.1035, 0.7481), Pm at (0.5000, 0.0000, 0.5000), Se at (0.0868, 0.1844, 0.4187), Se at (0.2430, 0.6807, 0.4173) and Se at (0.4065, 0.0611, 0.2463).


Stability, lowest: run Q


Run P
Material: Tb2PmSe4
Method: DFT, GGA-PBE
State: relaxed

It has space group C2/m (No. 12), with a = 15.4354 Å, b = 4.1455 Å, c = 7.1843 Å, α = 90.00°, β = 116.09° and γ = 90.00°. The inequivalent atoms are Tb at (0.2347, 0.0000, 0.2260), Pm at (0.0000, 0.5000, 0.5000), Se at (0.1271, 0.5000, 0.9491) and Se at (0.1384, 0.0000, 0.4942).


Run Q
Material: Tb2PmSe4
Method: DFT, GGA-PBE
State: relaxed

It has space group Cmcm (No. 63), with a = 4.0257 Å, b = 13.5556 Å, c = 13.9066 Å, α = 90.00°, β = 90.00° and γ = 90.00°. The inequivalent atoms are Tb at (0.0000, 0.1302, 0.0688), Pm at (0.0000, 0.3746, 0.2500), Se at (0.0000, 0.0345, 0.2500), Se at (0.0000, 0.2248, 0.6209) and Se at (0.0000, 0.5000, 0.0000).


Stability, lowest: run P


Run P
Material: TbPmSe
Method: DFT, GGA-PBE
State: relaxed

It has space group I4mm (No. 107), with a = 3.6332 Å, b = 3.6332 Å, c = 12.6651 Å, α = 90.00°, β = 90.00° and γ = 90.00°. The inequivalent atoms are Tb at (0.0000, 0.0000, 0.0000), Pm at (0.0000, 0.0000, 0.7154) and Se at (0.0000, 0.0000, 0.3632).


Run Q
Material: TbPmSe
Method: DFT, GGA-PBE
State: relaxed

It has space group P3m1 (No. 156), with a = 3.9232 Å, b = 3.9232 Å, c = 6.6618 Å, α = 90.00°, β = 90.00° and γ = 120.00°. The inequivalent atoms are Tb at (0.0000, 0.0000, 0.0000), Pm at (0.3333, 0.6667, 0.5531) and Se at (0.6667, 0.3333, 0.2687).


Stability, lowest: run P


Run P
Material: Tb3Pm4Se8
Method: DFT, GGA-PBE
State: relaxed

It has space group R-3m (No. 166, hexagonal axes), with a = 8.1675 Å, b = 8.1675 Å, c = 22.8709 Å, α = 90.00°, β = 90.00° and γ = 120.00°. The inequivalent atoms are Tb at (0.0000, 0.5000, 0.0000), Pm at (0.0000, 0.0000, 0.0000), Pm at (0.0000, 0.0000, 0.1458), Pm at (0.0000, 0.0000, 0.5000), Se at (0.0000, 0.0000, 0.2678) and Se at (0.0079, 0.5039, 0.2538).


Run Q
Material: Tb3Pm4Se8
Method: DFT, GGA-PBE
State: relaxed

It has space group C2/m (No. 12), with a = 11.6942 Å, b = 11.7001 Å, c = 8.2654 Å, α = 90.00°, β = 134.93° and γ = 90.00°. The inequivalent atoms are Tb at (0.0000, 0.0000, 0.0000), Tb at (0.2500, 0.2500, 0.5000), Pm at (0.0000, 0.0000, 0.5000), Pm at (0.0000, 0.5000, 0.0000), Pm at (0.2500, 0.2500, 0.0000), Se at (0.0000, 0.2471, 0.0000), Se at (0.0000, 0.2553, 0.5000), Se at (0.2474, 0.5000, 0.5057) and Se at (0.2478, 0.5000, 0.9897).


Stability, lowest: run P


Run P
Material: TbPm2Se3
Method: DFT, GGA-PBE
State: relaxed

It has space group P6_3/mmc (No. 194), with a = 4.1007 Å, b = 4.1007 Å, c = 21.0957 Å, α = 90.00°, β = 90.00° and γ = 120.00°. The inequivalent atoms are Tb at (0.0000, 0.0000, 0.2500), Pm at (0.3333, 0.6667, 0.0829), Se at (0.0000, 0.0000, 0.0000) and Se at (0.3333, 0.6667, 0.6679).


Run Q
Material: TbPm2Se3
Method: DFT, GGA-PBE
State: relaxed

It has space group Immm (No. 71), with a = 4.1754 Å, b = 5.8760 Å, c = 12.4793 Å, α = 90.00°, β = 90.00° and γ = 90.00°. The inequivalent atoms are Tb at (0.0000, 0.0000, 0.0000), Pm at (0.0000, 0.0000, 0.3292), Se at (0.0000, 0.5000, 0.0000) and Se at (0.0000, 0.5000, 0.3394).


Stability, lowest: run P


Run P
Material: TbPmSe3
Method: DFT, GGA-PBE
State: relaxed

It has space group Pnma (No. 62), with a = 7.7411 Å, b = 4.1354 Å, c = 16.1298 Å, α = 90.00°, β = 90.00° and γ = 90.00°. The inequivalent atoms are Tb at (0.2304, 0.2500, 0.0426), Pm at (0.1398, 0.7500, 0.2980), Se at (0.0080, 0.7500, 0.1068), Se at (0.1216, 0.2500, 0.4356) and Se at (0.1513, 0.7500, 0.7165).


Run Q
Material: TbPmSe3
Method: DFT, GGA-PBE
State: relaxed

It has space group P2_1/m (No. 11), with a = 8.1710 Å, b = 4.1152 Å, c = 8.2661 Å, α = 90.00°, β = 94.61° and γ = 90.00°. The inequivalent atoms are Tb at (0.1450, 0.2500, 0.1785), Pm at (0.3809, 0.7500, 0.7304), Se at (0.1045, 0.2500, 0.8199), Se at (0.3186, 0.2500, 0.4786) and Se at (0.3767, 0.7500, 0.1114).


Stability, lowest: run Q


Run P
Material: Pm3Te2Se
Method: DFT, GGA-PBE
State: relaxed

It has space group Immm (No. 71), with a = 4.3443 Å, b = 6.1667 Å, c = 13.3402 Å, α = 90.00°, β = 90.00° and γ = 90.00°. The inequivalent atoms are Pm at (0.0000, 0.0000, 0.0000), Pm at (0.0000, 0.0000, 0.3543), Te at (0.0000, 0.5000, 0.3256) and Se at (0.0000, 0.5000, 0.0000).


Run Q
Material: Pm3Te2Se
Method: DFT, GGA-PBE
State: relaxed

It has space group P6_3/mmc (No. 194), with a = 4.3261 Å, b = 4.3261 Å, c = 22.2390 Å, α = 90.00°, β = 90.00° and γ = 120.00°. The inequivalent atoms are Pm at (0.0000, 0.0000, 0.0000), Pm at (0.3333, 0.6667, 0.1691), Te at (0.3333, 0.6667, 0.5852) and Se at (0.0000, 0.0000, 0.2500).


Stability, lowest: run Q